Version i
# HoErSc2 (GGA-PBE, relaxed)
data_HoErSc2
_chemical_formula_sum 'Ho1 Er1 Sc2'
_symmetry_space_group_name_H-M 'P 4/m m m'
_symmetry_Int_Tables_number 123
_symmetry_space_group_name_Hall '-P 4 2'
_cell_length_a 3.4286
_cell_length_b 3.4286
_cell_length_c 9.3612
_cell_angle_alpha 90.00
_cell_angle_beta 90.00
_cell_angle_gamma 90.00
loop_
_atom_site_label
_atom_site_type_symbol
_atom_site_fract_x
_atom_site_fract_y
_atom_site_fract_z
Ho1 Ho 0.0000 0.0000 0.0000
Er1 Er 0.0000 0.0000 0.5000
Sc1 Sc 0.5000 0.5000 0.2505
# * total moment: 0.000 μB/atom
# * density: 6.37 g cm⁻³

Version ii
# HoErSc2 (GGA-PBE, relaxed)
data_HoErSc2
_chemical_formula_sum 'Ho3 Er3 Sc6'
_symmetry_space_group_name_H-M 'R -3 m'
_symmetry_Int_Tables_number 166
_symmetry_space_group_name_Hall '-R 3 2"'
_cell_length_a 3.3183
_cell_length_b 3.3183
_cell_length_c 35.4718
_cell_angle_alpha 90.00
_cell_angle_beta 90.00
_cell_angle_gamma 120.00
loop_
_atom_site_label
_atom_site_type_symbol
_atom_site_fract_x
_atom_site_fract_y
_atom_site_fract_z
Ho1 Ho 0.0000 0.0000 0.0000
Er1 Er 0.0000 0.0000 0.5000
Sc1 Sc 0.0000 0.0000 0.0902
# * total moment: 0.228 μB/atom
# * density: 6.22 g cm⁻³

It is version i that is most stable; the runner-up trails by 18.1 kJ/mol of atoms.

Version i
# HoErSc2 (GGA-PBE, relaxed)
data_HoErSc2
_chemical_formula_sum 'Ho3 Er3 Sc6'
_symmetry_space_group_name_H-M 'R 3 m'
_symmetry_Int_Tables_number 160
_symmetry_space_group_name_Hall 'R 3 -2"'
_cell_length_a 3.4283
_cell_length_b 3.4283
_cell_length_c 32.5184
_cell_angle_alpha 90.00
_cell_angle_beta 90.00
_cell_angle_gamma 120.00
loop_
_atom_site_label
_atom_site_type_symbol
_atom_site_fract_x
_atom_site_fract_y
_atom_site_fract_z
Ho1 Ho 0.0000 0.0000 0.0000
Er1 Er 0.0000 0.0000 0.8342
Sc1 Sc 0.0000 0.0000 0.2506
Sc2 Sc 0.0000 0.0000 0.4170
# * total moment: 0.000 μB/atom
# * density: 6.35 g cm⁻³

Version ii
# HoErSc2 (GGA-PBE, relaxed)
data_HoErSc2
_chemical_formula_sum 'Ho1 Er1 Sc2'
_symmetry_space_group_name_H-M 'P 4/m m m'
_symmetry_Int_Tables_number 123
_symmetry_space_group_name_Hall '-P 4 2'
_cell_length_a 4.8455
_cell_length_b 4.8455
_cell_length_c 4.6853
_cell_angle_alpha 90.00
_cell_angle_beta 90.00
_cell_angle_gamma 90.00
loop_
_atom_site_label
_atom_site_type_symbol
_atom_site_fract_x
_atom_site_fract_y
_atom_site_fract_z
Ho1 Ho 0.0000 0.0000 0.0000
Er1 Er 0.5000 0.5000 0.0000
Sc1 Sc 0.0000 0.5000 0.5000
# * total moment: 0.000 μB/atom
# * density: 6.37 g cm⁻³

Version iii
# HoErSc2 (GGA-PBE, relaxed)
data_HoErSc2
_chemical_formula_sum 'Ho1 Er1 Sc2'
_symmetry_space_group_name_H-M 'P 4 m m'
_symmetry_Int_Tables_number 99
_cell_length_a 3.7284
_cell_length_b 3.7284
_cell_length_c 8.0914
_cell_angle_alpha 90.00
_cell_angle_beta 90.00
_cell_angle_gamma 90.00
loop_
_symmetry_equiv_pos_as_xyz
'x,y,z'
'-y,x,z'
'-x,-y,z'
'y,-x,z'
'-x,y,z'
'y,x,z'
'x,-y,z'
'-y,-x,z'
loop_
_atom_site_label
_atom_site_type_symbol
_atom_site_fract_x
_atom_site_fract_y
_atom_site_fract_z
Ho1 Ho 0.0000 0.0000 0.0000
Er1 Er 0.5000 0.5000 0.3063
Sc1 Sc 0.0000 0.0000 0.5530
Sc2 Sc 0.5000 0.5000 0.7510
# * total moment: 0.000 μB/atom
# * density: 6.23 g cm⁻³

It is version i that is most stable; the runner-up trails by 0.5 kJ/mol of atoms.

Version i
# Ho2ErSc (GGA-PBE, relaxed)
data_Ho2ErSc
_chemical_formula_sum 'Ho2 Er1 Sc1'
_symmetry_space_group_name_H-M 'P 4/m m m'
_symmetry_Int_Tables_number 123
_symmetry_space_group_name_Hall '-P 4 2'
_cell_length_a 3.4763
_cell_length_b 3.4763
_cell_length_c 9.6565
_cell_angle_alpha 90.00
_cell_angle_beta 90.00
_cell_angle_gamma 90.00
loop_
_atom_site_label
_atom_site_type_symbol
_atom_site_fract_x
_atom_site_fract_y
_atom_site_fract_z
Ho1 Ho 0.0000 0.0000 0.2404
Er1 Er 0.5000 0.5000 0.5000
Sc1 Sc 0.5000 0.5000 0.0000
# * total moment: 0.000 μB/atom
# * density: 7.71 g cm⁻³

Version ii
# Ho2ErSc (GGA-PBE, relaxed)
data_Ho2ErSc
_chemical_formula_sum 'Ho8 Er4 Sc4'
_symmetry_space_group_name_H-M 'F m -3 m'
_symmetry_Int_Tables_number 225
_symmetry_space_group_name_Hall '-F 4 2 3'
_cell_length_a 7.7843
_cell_length_b 7.7843
_cell_length_c 7.7843
_cell_angle_alpha 90.00
_cell_angle_beta 90.00
_cell_angle_gamma 90.00
loop_
_atom_site_label
_atom_site_type_symbol
_atom_site_fract_x
_atom_site_fract_y
_atom_site_fract_z
Ho1 Ho 0.2500 0.2500 0.2500
Er1 Er 0.0000 0.0000 0.0000
Sc1 Sc 0.0000 0.0000 0.5000
# * total moment: 0.011 μB/atom
# * density: 7.63 g cm⁻³

It is version i that is most stable; the runner-up trails by 8.7 kJ/mol of atoms.